SmThCoBr: relaxed, GGA-PBE.

- N(E_F) (states/eV/f.u.) = 2.9
- space-group type = No. 160
- magnetization (μB per formula unit) = 0.00
- crystal system = trigonal
- raw formation energy (meV per atom) = -734

a = 8.170 Å, b = 8.170 Å, c = 8.170 Å
α = 28.37°, β = 28.37°, γ = 28.37°
Atoms (fractional coordinates):
Sm 0.000 0.000 0.000
Th 0.789 0.789 0.789
Co 0.401 0.401 0.401
Br 0.231 0.231 0.231

CdCu3Ni: relaxed, GGA-PBE.

- N(E_F) (states/eV/f.u.) = 2.8
- space-group type = No. 221
- magnetization (μB per formula unit) = 0.00
- ΔE_f (eV per atom) = 0.66
- crystal system = cubic

a = 4.413 Å, b = 4.413 Å, c = 4.413 Å
α = 90.00°, β = 90.00°, γ = 90.00°
Atoms (fractional coordinates):
Cd 0.000 0.000 0.000
Cu 0.000 0.500 0.500
Cu 0.500 0.000 0.500
Cu 0.500 0.500 0.000
Ni 0.500 0.500 0.500

BaFe2Tc: relaxed, GGA-PBE.

- N(E_F) (states/eV/f.u.) = 4.9
- space-group type = No. 47
- magnetization (μB per formula unit) = 6.07
- ΔE_f (eV per atom) = 1.26
- crystal system = orthorhombic
- ΔE to the lowest computed polymorph (meV per atom) = 800

a = 3.291 Å, b = 4.626 Å, c = 4.773 Å
α = 90.00°, β = 90.00°, γ = 90.00°
Atoms (fractional coordinates):
Ba 0.000 0.000 0.000
Fe 0.000 0.500 0.500
Fe 0.500 0.000 0.500
Tc 0.500 0.500 0.000

HgSbIr2: relaxed, GGA-PBE.

- N(E_F) (states/eV/f.u.) = 2.9
- space-group type = No. 25
- magnetization (μB per formula unit) = 0.00
- crystal system = orthorhombic
- raw formation energy (meV per atom) = 417
- ΔE to the lowest computed polymorph (meV per atom) = 94

a = 3.158 Å, b = 5.026 Å, c = 4.643 Å
α = 90.00°, β = 90.00°, γ = 90.00°
Atoms (fractional coordinates):
Hg 0.000 0.000 0.000
Sb 0.500 0.500 0.259
Ir 0.000 0.500 0.717
Ir 0.500 0.000 0.507

ZrAlNi: relaxed, GGA-PBE.

- N(E_F) (states/eV/f.u.) = 1.8
- space-group type = No. 189
- magnetization (μB per formula unit) = 0.00
- ΔE_f (eV per atom) = -0.48
- crystal system = hexagonal

a = 6.389 Å, b = 6.389 Å, c = 4.144 Å
α = 90.00°, β = 90.00°, γ = 120.00°
Atoms (fractional coordinates):
Zr 0.000 0.551 0.000
Zr 0.449 0.449 0.000
Zr 0.551 0.000 0.000
Al 0.000 0.000 0.000
Al 0.333 0.667 0.500
Al 0.667 0.333 0.500
Ni 0.000 0.235 0.500
Ni 0.235 0.000 0.500
Ni 0.765 0.765 0.500

Er8BiTe4As3: relaxed, GGA-PBE.

- N(E_F) (states/eV/f.u.) = 6.2
- space-group type = No. 166
- magnetization (μB per formula unit) = 0.00
- crystal system = trigonal
- raw formation energy (meV per atom) = -1332

a = 8.558 Å, b = 8.558 Å, c = 8.558 Å
α = 59.27°, β = 59.27°, γ = 59.27°
Atoms (fractional coordinates):
Er 0.225 0.750 0.750
Er 0.239 0.239 0.239
Er 0.250 0.250 0.775
Er 0.250 0.775 0.250
Er 0.750 0.225 0.750
Er 0.750 0.750 0.225
Er 0.761 0.761 0.761
Er 0.775 0.250 0.250
Bi 0.500 0.500 0.500
Te 0.000 0.000 0.000
Te 0.000 0.500 0.500
Te 0.500 0.000 0.500
Te 0.500 0.500 0.000
As 0.000 0.000 0.500
As 0.000 0.500 0.000
As 0.500 0.000 0.000

InReRh: relaxed, GGA-PBE.

- N(E_F) (states/eV/f.u.) = 3.2
- space-group type = No. 216
- magnetization (μB per formula unit) = 0.47
- ΔE_f (eV per atom) = 0.45
- crystal system = cubic
- ΔE to the lowest computed polymorph (meV per atom) = 381

a = 4.308 Å, b = 4.308 Å, c = 4.308 Å
α = 60.00°, β = 60.00°, γ = 60.00°
Atoms (fractional coordinates):
In 0.000 0.000 0.000
Re 0.500 0.500 0.500
Rh 0.750 0.750 0.750

Mg2ScAg: relaxed, GGA-PBE.

- N(E_F) (states/eV/f.u.) = 3.9
- space-group type = No. 122
- magnetization (μB per formula unit) = 0.00
- ΔE_f (eV per atom) = 0.12
- crystal system = tetragonal

a = 6.323 Å, b = 6.323 Å, c = 6.323 Å
α = 102.36°, β = 102.36°, γ = 124.88°
Atoms (fractional coordinates):
Mg 0.084 0.625 0.959
Mg 0.375 0.334 0.459
Mg 0.666 0.125 0.041
Mg 0.875 0.916 0.541
Sc 0.250 0.750 0.500
Sc 0.500 0.500 0.000
Ag 0.000 0.000 0.000
Ag 0.750 0.250 0.500

Tb6Tl5Cd: relaxed, GGA-PBE.

- N(E_F) (states/eV/f.u.) = 10.2
- space-group type = No. 12
- magnetization (μB per formula unit) = 0.00
- ΔE_f (eV per atom) = -0.24
- crystal system = monoclinic
- ΔE to the lowest computed polymorph (meV per atom) = 112

a = 7.529 Å, b = 7.529 Å, c = 6.441 Å
α = 98.46°, β = 98.46°, γ = 97.43°
Atoms (fractional coordinates):
Tb 0.083 0.415 0.750
Tb 0.249 0.249 0.245
Tb 0.415 0.083 0.750
Tb 0.585 0.917 0.250
Tb 0.751 0.751 0.755
Tb 0.917 0.585 0.250
Tl 0.000 0.000 0.500
Tl 0.171 0.829 0.000
Tl 0.336 0.664 0.500
Tl 0.664 0.336 0.500
Tl 0.829 0.171 0.000
Cd 0.500 0.500 0.000

Sb2PBr: relaxed, GGA-PBE.

- N(E_F) (states/eV/f.u.) = 1.9
- space-group type = No. 123
- magnetization (μB per formula unit) = 0.00
- crystal system = tetragonal
- raw formation energy (meV per atom) = 109
- ΔE to the lowest computed polymorph (meV per atom) = 114

a = 3.558 Å, b = 3.558 Å, c = 7.707 Å
α = 90.00°, β = 90.00°, γ = 90.00°
Atoms (fractional coordinates):
Sb 0.000 0.000 0.196
Sb 0.000 0.000 0.804
P 0.500 0.500 0.000
Br 0.500 0.500 0.500

Na2Nd2US6: relaxed, GGA-PBE.

- N(E_F) (states/eV/f.u.) = 6.3
- space-group type = No. 12
- magnetization (μB per formula unit) = 2.00
- crystal system = monoclinic
- raw formation energy (meV per atom) = -1655

a = 7.094 Å, b = 7.094 Å, c = 7.099 Å
α = 99.54°, β = 99.54°, γ = 119.64°
Atoms (fractional coordinates):
Na 0.169 0.831 0.000
Na 0.831 0.169 0.000
Nd 0.334 0.666 0.500
Nd 0.666 0.334 0.500
U 0.000 0.000 0.500
S 0.069 0.394 0.724
S 0.239 0.239 0.277
S 0.394 0.069 0.724
S 0.606 0.931 0.276
S 0.761 0.761 0.723
S 0.931 0.606 0.276

Sr2LiCr: relaxed, GGA-PBE.

- N(E_F) (states/eV/f.u.) = 3.9
- space-group type = No. 65
- magnetization (μB per formula unit) = 4.88
- ΔE_f (eV per atom) = 0.40
- crystal system = orthorhombic
- ΔE to the lowest computed polymorph (meV per atom) = 16

a = 5.773 Å, b = 5.773 Å, c = 4.142 Å
α = 90.00°, β = 90.00°, γ = 90.10°
Atoms (fractional coordinates):
Sr 0.000 0.500 0.000
Sr 0.500 0.000 0.000
Li 0.000 0.000 0.500
Cr 0.500 0.500 0.500